Entry A
DFT (PBE-GGA) results for a relaxed Mg2Cu2Sb crystal.

Magnetic moment = 0.00 μB per cell
SG = No. 127

Lattice parameters (Å, degrees): 7.769 7.769 3.134 90.00 90.00 90.00
Element x y z (fractional)
Mg: 0.159 0.341 0.000
Mg: 0.341 0.841 0.000
Mg: 0.659 0.159 0.000
Mg: 0.841 0.659 0.000
Cu: 0.125 0.625 0.500
Cu: 0.375 0.125 0.500
Cu: 0.625 0.875 0.500
Cu: 0.875 0.375 0.500
Sb: 0.000 0.000 0.000
Sb: 0.500 0.500 0.000

Entry B
DFT (PBE-GGA) results for a relaxed Mg2Cu2Sb crystal.

Magnetic moment = 0.00 μB per cell
SG = No. 127

Lattice parameters (Å, degrees): 6.716 6.716 4.078 90.00 90.00 90.00
Element x y z (fractional)
Mg: 0.163 0.337 0.000
Mg: 0.337 0.837 0.000
Mg: 0.663 0.163 0.000
Mg: 0.837 0.663 0.000
Cu: 0.128 0.628 0.500
Cu: 0.372 0.128 0.500
Cu: 0.628 0.872 0.500
Cu: 0.872 0.372 0.500
Sb: 0.000 0.000 0.500
Sb: 0.500 0.500 0.500

Of them, entry A has the lowest stability.

Entry A
DFT (PBE-GGA) results for a relaxed MgCu2Sb2 crystal.

Magnetic moment = 0.00 μB per cell
SG = No. 139

Lattice parameters (Å, degrees): 6.265 6.265 6.265 137.88 137.88 61.09
Element x y z (fractional)
Mg: 0.000 0.000 0.000
Cu: 0.390 0.390 0.000
Cu: 0.610 0.610 0.000
Sb: 0.250 0.750 0.500
Sb: 0.750 0.250 0.500

Entry B
DFT (PBE-GGA) results for a relaxed MgCu2Sb2 crystal.

Magnetic moment = 0.00 μB per cell
SG = No. 127

Lattice parameters (Å, degrees): 7.929 7.929 3.281 90.00 90.00 90.00
Element x y z (fractional)
Mg: 0.000 0.000 0.000
Mg: 0.500 0.500 0.000
Cu: 0.116 0.384 0.500
Cu: 0.384 0.884 0.500
Cu: 0.616 0.116 0.500
Cu: 0.884 0.616 0.500
Sb: 0.175 0.675 0.000
Sb: 0.325 0.175 0.000
Sb: 0.675 0.825 0.000
Sb: 0.825 0.325 0.000

Entry C
DFT (PBE-GGA) results for a relaxed MgCu2Sb2 crystal.

Magnetic moment = 0.00 μB per cell
SG = No. 127

Lattice parameters (Å, degrees): 7.200 7.200 3.756 90.00 90.00 90.00
Element x y z (fractional)
Mg: 0.000 0.000 0.000
Mg: 0.500 0.500 0.000
Cu: 0.122 0.378 0.000
Cu: 0.378 0.878 0.000
Cu: 0.622 0.122 0.000
Cu: 0.878 0.622 0.000
Sb: 0.178 0.678 0.500
Sb: 0.322 0.178 0.500
Sb: 0.678 0.822 0.500
Sb: 0.822 0.322 0.500

Of them, entry A has the lowest stability.

Entry A
DFT (PBE-GGA) results for a relaxed Mg6CuSb crystal.

Magnetic moment = 0.00 μB per cell
SG = No. 38

Lattice parameters (Å, degrees): 4.932 6.457 6.457 57.10 90.00 90.00
Element x y z (fractional)
Mg: 0.000 0.000 0.000
Mg: 0.000 0.503 0.978
Mg: 0.000 0.978 0.503
Mg: 0.500 0.163 0.667
Mg: 0.500 0.166 0.166
Mg: 0.500 0.667 0.163
Cu: 0.500 0.720 0.720
Sb: 0.000 0.496 0.496

Entry B
DFT (PBE-GGA) results for a relaxed Mg6CuSb crystal.

Magnetic moment = 0.00 μB per cell
SG = No. 38

Lattice parameters (Å, degrees): 4.811 6.254 6.254 64.96 90.00 90.00
Element x y z (fractional)
Mg: 0.000 0.000 0.000
Mg: 0.000 0.030 0.478
Mg: 0.000 0.478 0.030
Mg: 0.000 0.498 0.498
Mg: 0.500 0.323 0.820
Mg: 0.500 0.820 0.323
Cu: 0.500 0.335 0.335
Sb: 0.500 0.821 0.821

Of them, entry B has the lowest stability.

Entry A
DFT (PBE-GGA) results for a relaxed SrMgCuSb2 crystal.

Magnetic moment = 0.00 μB per cell
SG = No. 123

Lattice parameters (Å, degrees): 5.310 5.310 4.861 90.00 90.00 90.00
Element x y z (fractional)
Sr: 0.000 0.000 0.000
Mg: 0.500 0.500 0.000
Cu: 0.500 0.500 0.500
Sb: 0.000 0.500 0.500
Sb: 0.500 0.000 0.500

Entry B
DFT (PBE-GGA) results for a relaxed SrMgCuSb2 crystal.

Magnetic moment = 0.00 μB per cell
SG = No. 123

Lattice parameters (Å, degrees): 6.005 6.005 6.100 90.00 90.00 90.00
Element x y z (fractional)
Sr: 0.000 0.000 0.000
Mg: 0.000 0.000 0.500
Cu: 0.500 0.500 0.500
Sb: 0.000 0.500 0.000
Sb: 0.500 0.000 0.000

Of them, entry B has the lowest stability.